An optimized crystal structure of Co2AuSe. Source: Alexandria, functional PBE-GGA.

Output
Crystal system ... monoclinic
Density ... 10.2 g/cm3
DOS(E_F) ... 0.87 states/eV per atom
Formation energy from raw total energies ... 0.240 eV/atom

abc: 2.8326 4.0296 5.8111
angles: 90.00 103.80 90.00
Closest atoms and distances in Å follow each position.
Space group Pm (No. 6)
Inequivalent atoms, fractional coordinates:
Co (0.0000, 0.0000, 0.0000) x1  2 Se 2.38, 4 Co 2.53-2.54, 2 Au 2.66
Co (0.4509, 0.5000, 0.8954) x1  2 Se 2.41, 4 Co 2.53-2.54
Au (0.1566, 0.5000, 0.3064) x1  4 Co 2.66-2.72, 2 Au 2.83, 2 Se 2.84
Se (0.3342, 0.0000, 0.6617) x1  4 Co 2.38-2.41